Record 1
## BaSr3Pb2 (GGA-PBE)

Data for a relaxed structure of BaSr3Pb2.

```
data_BaSr3Pb2
_symmetry_space_group_name_H-M 'P 1'
_symmetry_Int_Tables_number 1
_cell_length_a 5.5038
_cell_length_b 8.7566
_cell_length_c 10.2958
_cell_angle_alpha 90.00
_cell_angle_beta 90.00
_cell_angle_gamma 90.00
loop_
_symmetry_equiv_pos_as_xyz
'x,y,z'
loop_
_atom_site_label
_atom_site_type_symbol
_atom_site_fract_x
_atom_site_fract_y
_atom_site_fract_z
Sr1 Sr 0.5000 0.1524 0.8272
Sr2 Sr 0.5000 0.6524 0.1728
Sr3 Sr 0.0000 0.8479 0.6801
Sr4 Sr 0.0000 0.9773 0.0702
Sr5 Sr 0.0000 0.3479 0.3199
Sr6 Sr 0.0000 0.4773 0.9298
Ba1 Ba 0.5000 0.5208 0.5682
Ba2 Ba 0.5000 0.0208 0.4318
Pb1 Pb 0.0000 0.7453 0.3545
Pb2 Pb 0.5000 0.2564 0.1413
Pb3 Pb 0.5000 0.7564 0.8587
Pb4 Pb 0.0000 0.2453 0.6455
```

## Properties
Calculated formation energy (eV/atom): -0.555
Electronic total energy (eV per atom): -2.953

Record 2
## BaSr3Pb (GGA-PBE)

Data for a relaxed structure of BaSr3Pb.

```
data_BaSr3Pb
_symmetry_space_group_name_H-M 'P 1'
_symmetry_Int_Tables_number 1
_cell_length_a 6.5410
_cell_length_b 6.5410
_cell_length_c 6.5410
_cell_angle_alpha 90.00
_cell_angle_beta 90.00
_cell_angle_gamma 90.00
loop_
_symmetry_equiv_pos_as_xyz
'x,y,z'
loop_
_atom_site_label
_atom_site_type_symbol
_atom_site_fract_x
_atom_site_fract_y
_atom_site_fract_z
Sr1 Sr 0.0000 0.0000 0.5000
Sr2 Sr 0.0000 0.5000 0.0000
Sr3 Sr 0.5000 0.0000 0.0000
Pb1 Pb 0.0000 0.0000 0.0000
Ba1 Ba 0.5000 0.5000 0.5000
```

## Properties
Calculated formation energy (eV/atom): -0.149
Electronic total energy (eV per atom): -2.284
Relative energy among the computed polymorphs (meV per atom): 0

Record 3
## Ba2SrTl2Pb2 (GGA-PBE)

Data for a relaxed structure of Ba2SrTl2Pb2.

```
data_Ba2SrTl2Pb2
_symmetry_space_group_name_H-M 'P 1'
_symmetry_Int_Tables_number 1
_cell_length_a 5.4222
_cell_length_b 5.4222
_cell_length_c 10.8588
_cell_angle_alpha 75.54
_cell_angle_beta 75.54
_cell_angle_gamma 60.00
loop_
_symmetry_equiv_pos_as_xyz
'x,y,z'
loop_
_atom_site_label
_atom_site_type_symbol
_atom_site_fract_x
_atom_site_fract_y
_atom_site_fract_z
Pb1 Pb 0.7272 0.7272 0.8184
Pb2 Pb 0.2728 0.2728 0.1816
Sr1 Sr 0.0000 0.0000 0.0000
Tl1 Tl 0.4227 0.4227 0.7320
Tl2 Tl 0.5773 0.5773 0.2680
Ba1 Ba 0.1334 0.1334 0.5997
Ba2 Ba 0.8666 0.8666 0.4003
```

## Properties
Calculated formation energy (eV/atom): -0.306
Electronic total energy (eV per atom): -2.832

Record 4
## BaSr2Tl7Pb2 (GGA-PBE)

Data for a relaxed structure of BaSr2Tl7Pb2.

```
data_BaSr2Tl7Pb2
_symmetry_space_group_name_H-M 'P 1'
_symmetry_Int_Tables_number 1
_cell_length_a 4.9194
_cell_length_b 4.9194
_cell_length_c 16.9827
_cell_angle_alpha 85.41
_cell_angle_beta 85.41
_cell_angle_gamma 89.56
loop_
_symmetry_equiv_pos_as_xyz
'x,y,z'
loop_
_atom_site_label
_atom_site_type_symbol
_atom_site_fract_x
_atom_site_fract_y
_atom_site_fract_z
Sr1 Sr 0.9069 0.9069 0.3304
Sr2 Sr 0.0931 0.0931 0.6696
Tl1 Tl 0.5000 0.5000 0.0000
Tl2 Tl 0.0385 0.5419 0.8387
Tl3 Tl 0.7163 0.7163 0.5262
Tl4 Tl 0.4581 0.9615 0.1613
Tl5 Tl 0.9615 0.4581 0.1613
Tl6 Tl 0.2837 0.2837 0.4738
Tl7 Tl 0.5419 0.0385 0.8387
Ba1 Ba 0.0000 0.0000 0.0000
Pb1 Pb 0.5788 0.5788 0.7076
Pb2 Pb 0.4212 0.4212 0.2924
```

## Properties
Calculated formation energy (eV/atom): -0.243
Electronic total energy (eV per atom): -2.682

Record 5
## Ba2Ta2Pb (GGA-PBE)

Data for a relaxed structure of Ba2Ta2Pb.

```
data_Ba2Ta2Pb
_symmetry_space_group_name_H-M 'P 1'
_symmetry_Int_Tables_number 1
_cell_length_a 9.6112
_cell_length_b 9.6112
_cell_length_c 3.5527
_cell_angle_alpha 90.00
_cell_angle_beta 90.00
_cell_angle_gamma 90.00
loop_
_symmetry_equiv_pos_as_xyz
'x,y,z'
loop_
_atom_site_label
_atom_site_type_symbol
_atom_site_fract_x
_atom_site_fract_y
_atom_site_fract_z
Ba1 Ba 0.7072 0.7928 0.5000
Ba2 Ba 0.2072 0.7072 0.5000
Ba3 Ba 0.7928 0.2928 0.5000
Ba4 Ba 0.2928 0.2072 0.5000
Ta1 Ta 0.4135 0.9135 0.0000
Ta2 Ta 0.5865 0.0865 0.0000
Ta3 Ta 0.9135 0.5865 0.0000
Ta4 Ta 0.0865 0.4135 0.0000
Pb1 Pb 0.0000 0.0000 0.0000
Pb2 Pb 0.5000 0.5000 0.0000
```

## Properties
Calculated formation energy (eV/atom): 0.914
Electronic total energy (eV per atom): -5.338
Relative energy among the computed polymorphs (meV per atom): 0

Record 6
## BaTa2Pb (GGA-PBE)

Data for a relaxed structure of BaTa2Pb.

```
data_BaTa2Pb
_symmetry_space_group_name_H-M 'P 1'
_symmetry_Int_Tables_number 1
_cell_length_a 3.1170
_cell_length_b 3.1170
_cell_length_c 10.6348
_cell_angle_alpha 90.00
_cell_angle_beta 90.00
_cell_angle_gamma 106.48
loop_
_symmetry_equiv_pos_as_xyz
'x,y,z'
loop_
_atom_site_label
_atom_site_type_symbol
_atom_site_fract_x
_atom_site_fract_y
_atom_site_fract_z
Ta1 Ta 0.0000 0.0000 0.9679
Ta2 Ta 0.0000 0.0000 0.5321
Pb1 Pb 0.5000 0.5000 0.7500
Ba1 Ba 0.5000 0.5000 0.2500
```

## Properties
Calculated formation energy (eV/atom): 0.999
Electronic total energy (eV per atom): -6.335

Record 7
## BaTa2Pb (GGA-PBE)

Data for a relaxed structure of BaTa2Pb.

```
data_BaTa2Pb
_symmetry_space_group_name_H-M 'P 1'
_symmetry_Int_Tables_number 1
_cell_length_a 3.8415
_cell_length_b 3.8434
_cell_length_c 7.5041
_cell_angle_alpha 90.00
_cell_angle_beta 90.00
_cell_angle_gamma 90.00
loop_
_symmetry_equiv_pos_as_xyz
'x,y,z'
loop_
_atom_site_label
_atom_site_type_symbol
_atom_site_fract_x
_atom_site_fract_y
_atom_site_fract_z
Ta1 Ta 0.0000 0.0000 0.9134
Ta2 Ta 0.0000 0.0000 0.5866
Ba1 Ba 0.5000 0.5000 0.2500
Pb1 Pb 0.5000 0.5000 0.7500
```

## Properties
Calculated formation energy (eV/atom): 0.794
Electronic total energy (eV per atom): -6.540

Record 8
## BaTaPb4 (GGA-PBE)

Data for a relaxed structure of BaTaPb4.

```
data_BaTaPb4
_symmetry_space_group_name_H-M 'P 1'
_symmetry_Int_Tables_number 1
_cell_length_a 6.4855
_cell_length_b 6.4855
_cell_length_c 6.4855
_cell_angle_alpha 60.00
_cell_angle_beta 60.00
_cell_angle_gamma 60.00
loop_
_symmetry_equiv_pos_as_xyz
'x,y,z'
loop_
_atom_site_label
_atom_site_type_symbol
_atom_site_fract_x
_atom_site_fract_y
_atom_site_fract_z
Pb1 Pb 0.3757 0.3757 0.3757
Pb2 Pb 0.8728 0.3757 0.3757
Pb3 Pb 0.3757 0.8728 0.3757
Pb4 Pb 0.3757 0.3757 0.8728
Ta1 Ta 0.7500 0.7500 0.7500
Ba1 Ba 0.0000 0.0000 0.0000
```

## Properties
Calculated formation energy (eV/atom): 0.526
Electronic total energy (eV per atom): -4.242

Record 9
## BaTa2Pb (GGA-PBE)

Data for a relaxed structure of BaTa2Pb.

```
data_BaTa2Pb
_symmetry_space_group_name_H-M 'P 1'
_symmetry_Int_Tables_number 1
_cell_length_a 3.0950
_cell_length_b 3.0950
_cell_length_c 10.5116
_cell_angle_alpha 90.00
_cell_angle_beta 90.00
_cell_angle_gamma 90.00
loop_
_symmetry_equiv_pos_as_xyz
'x,y,z'
loop_
_atom_site_label
_atom_site_type_symbol
_atom_site_fract_x
_atom_site_fract_y
_atom_site_fract_z
Pb1 Pb 0.5000 0.5000 0.7500
Ta1 Ta 0.0000 0.0000 0.5341
Ta2 Ta 0.0000 0.0000 0.9659
Ba1 Ba 0.5000 0.5000 0.2500
```

## Properties
Calculated formation energy (eV/atom): 1.053
Electronic total energy (eV per atom): -6.281

Record 10
## BaTaPb3 (GGA-PBE)

Data for a relaxed structure of BaTaPb3.

```
data_BaTaPb3
_symmetry_space_group_name_H-M 'P 1'
_symmetry_Int_Tables_number 1
_cell_length_a 5.5676
_cell_length_b 5.5676
_cell_length_c 5.5676
_cell_angle_alpha 90.00
_cell_angle_beta 90.00
_cell_angle_gamma 90.00
loop_
_symmetry_equiv_pos_as_xyz
'x,y,z'
loop_
_atom_site_label
_atom_site_type_symbol
_atom_site_fract_x
_atom_site_fract_y
_atom_site_fract_z
Pb1 Pb 0.5000 0.0000 0.0000
Pb2 Pb 0.0000 0.0000 0.5000
Pb3 Pb 0.0000 0.5000 0.0000
Ba1 Ba 0.5000 0.5000 0.5000
Ta1 Ta 0.0000 0.0000 0.0000
```

## Properties
Calculated formation energy (eV/atom): 0.055
Electronic total energy (eV per atom): -4.925
Relative energy among the computed polymorphs (meV per atom): 0

Record 11
## BaTa2Pb (GGA-PBE)

Data for a relaxed structure of BaTa2Pb.

```
data_BaTa2Pb
_symmetry_space_group_name_H-M 'P 1'
_symmetry_Int_Tables_number 1
_cell_length_a 4.8126
_cell_length_b 4.5576
_cell_length_c 4.5576
_cell_angle_alpha 90.00
_cell_angle_beta 90.00
_cell_angle_gamma 90.00
loop_
_symmetry_equiv_pos_as_xyz
'x,y,z'
loop_
_atom_site_label
_atom_site_type_symbol
_atom_site_fract_x
_atom_site_fract_y
_atom_site_fract_z
Pb1 Pb 0.5000 0.0000 0.5000
Ba1 Ba 0.5000 0.5000 0.0000
Ta1 Ta 0.0000 0.0000 0.0000
Ta2 Ta 0.0000 0.5000 0.5000
```

## Properties
Calculated formation energy (eV/atom): 1.151
Electronic total energy (eV per atom): -6.183

Record 12
## BaTa2Pb (GGA-PBE)

Data for a relaxed structure of BaTa2Pb.

```
data_BaTa2Pb
_symmetry_space_group_name_H-M 'P 1'
_symmetry_Int_Tables_number 1
_cell_length_a 6.7155
_cell_length_b 6.7155
_cell_length_c 6.7155
_cell_angle_alpha 154.10
_cell_angle_beta 128.34
_cell_angle_gamma 58.68
loop_
_symmetry_equiv_pos_as_xyz
'x,y,z'
loop_
_atom_site_label
_atom_site_type_symbol
_atom_site_fract_x
_atom_site_fract_y
_atom_site_fract_z
Pb1 Pb 0.2500 0.7500 0.5000
Ta1 Ta 0.0273 0.0273 0.0000
Ta2 Ta 0.4727 0.4727 0.0000
Ba1 Ba 0.7500 0.2500 0.5000
```

## Properties
Calculated formation energy (eV/atom): 0.968
Electronic total energy (eV per atom): -6.367

Record 13
## BaTa2Pb (GGA-PBE)

Data for a relaxed structure of BaTa2Pb.

```
data_BaTa2Pb
_symmetry_space_group_name_H-M 'P 1'
_symmetry_Int_Tables_number 1
_cell_length_a 4.9232
_cell_length_b 4.9232
_cell_length_c 7.6643
_cell_angle_alpha 85.34
_cell_angle_beta 85.34
_cell_angle_gamma 37.09
loop_
_symmetry_equiv_pos_as_xyz
'x,y,z'
loop_
_atom_site_label
_atom_site_type_symbol
_atom_site_fract_x
_atom_site_fract_y
_atom_site_fract_z
Pb1 Pb 0.2593 0.2593 0.1841
Ta1 Ta 0.7320 0.7320 0.8346
Ta2 Ta 0.9986 0.9986 0.9697
Ba1 Ba 0.5102 0.5102 0.5116
```

## Properties
Calculated formation energy (eV/atom): 0.593
Electronic total energy (eV per atom): -6.741

Record 14
## BaTa2Pb (GGA-PBE)

Data for a relaxed structure of BaTa2Pb.

```
data_BaTa2Pb
_symmetry_space_group_name_H-M 'P 1'
_symmetry_Int_Tables_number 1
_cell_length_a 11.3890
_cell_length_b 11.3890
_cell_length_c 11.3890
_cell_angle_alpha 16.13
_cell_angle_beta 16.13
_cell_angle_gamma 16.13
loop_
_symmetry_equiv_pos_as_xyz
'x,y,z'
loop_
_atom_site_label
_atom_site_type_symbol
_atom_site_fract_x
_atom_site_fract_y
_atom_site_fract_z
Ta1 Ta 0.4894 0.4894 0.4894
Ta2 Ta 0.0106 0.0106 0.0106
Pb1 Pb 0.7500 0.7500 0.7500
Ba1 Ba 0.2500 0.2500 0.2500
```

## Properties
Calculated formation energy (eV/atom): 1.054
Electronic total energy (eV per atom): -6.280

Record 15
## BaTa2Pb (GGA-PBE)

Data for a relaxed structure of BaTa2Pb.

```
data_BaTa2Pb
_symmetry_space_group_name_H-M 'P 1'
_symmetry_Int_Tables_number 1
_cell_length_a 5.6967
_cell_length_b 5.6967
_cell_length_c 6.4074
_cell_angle_alpha 79.56
_cell_angle_beta 79.56
_cell_angle_gamma 33.11
loop_
_symmetry_equiv_pos_as_xyz
'x,y,z'
loop_
_atom_site_label
_atom_site_type_symbol
_atom_site_fract_x
_atom_site_fract_y
_atom_site_fract_z
Ba1 Ba 0.7500 0.7500 0.7500
Ta1 Ta 0.9820 0.9820 0.0934
Ta2 Ta 0.5180 0.5180 0.4066
Pb1 Pb 0.2500 0.2500 0.2500
```

## Properties
Calculated formation energy (eV/atom): 0.756
Electronic total energy (eV per atom): -6.579

Record 16
## BaTa2Pb (GGA-PBE)

Data for a relaxed structure of BaTa2Pb.

```
data_BaTa2Pb
_symmetry_space_group_name_H-M 'P 1'
_symmetry_Int_Tables_number 1
_cell_length_a 8.6241
_cell_length_b 8.6241
_cell_length_c 6.8229
_cell_angle_alpha 50.80
_cell_angle_beta 50.80
_cell_angle_gamma 90.00
loop_
_symmetry_equiv_pos_as_xyz
'x,y,z'
loop_
_atom_site_label
_atom_site_type_symbol
_atom_site_fract_x
_atom_site_fract_y
_atom_site_fract_z
Pb1 Pb 0.7500 0.2500 0.5000
Pb2 Pb 0.0000 0.0000 0.0000
Ta1 Ta 0.0823 0.6250 0.2500
Ta2 Ta 0.3750 0.3323 0.7500
Ta3 Ta 0.6677 0.1250 0.2500
Ta4 Ta 0.8750 0.9177 0.7500
Ba1 Ba 0.2500 0.7500 0.5000
Ba2 Ba 0.5000 0.5000 0.0000
```

## Properties
Calculated formation energy (eV/atom): 1.463
Electronic total energy (eV per atom): -5.871

Record 17
## BaTaPb3 (GGA-PBE)

Data for a relaxed structure of BaTaPb3.

```
data_BaTaPb3
_symmetry_space_group_name_H-M 'P 1'
_symmetry_Int_Tables_number 1
_cell_length_a 6.0210
_cell_length_b 6.0210
_cell_length_c 6.0210
_cell_angle_alpha 90.00
_cell_angle_beta 90.00
_cell_angle_gamma 90.00
loop_
_symmetry_equiv_pos_as_xyz
'x,y,z'
loop_
_atom_site_label
_atom_site_type_symbol
_atom_site_fract_x
_atom_site_fract_y
_atom_site_fract_z
Pb1 Pb 0.0000 0.0000 0.5000
Pb2 Pb 0.0000 0.5000 0.0000
Pb3 Pb 0.5000 0.0000 0.0000
Ba1 Ba 0.0000 0.0000 0.0000
Ta1 Ta 0.5000 0.5000 0.5000
```

## Properties
Calculated formation energy (eV/atom): 2.011
Electronic total energy (eV per atom): -2.969
Relative energy among the computed polymorphs (meV per atom): 1956

Record 18
## BaTa2Pb (GGA-PBE)

Data for a relaxed structure of BaTa2Pb.

```
data_BaTa2Pb
_symmetry_space_group_name_H-M 'P 1'
_symmetry_Int_Tables_number 1
_cell_length_a 5.3690
_cell_length_b 3.2910
_cell_length_c 6.5776
_cell_angle_alpha 84.81
_cell_angle_beta 90.00
_cell_angle_gamma 90.00
loop_
_symmetry_equiv_pos_as_xyz
'x,y,z'
loop_
_atom_site_label
_atom_site_type_symbol
_atom_site_fract_x
_atom_site_fract_y
_atom_site_fract_z
Ba1 Ba 0.5000 0.2500 0.2500
Ta1 Ta 0.0000 0.5509 0.5940
Ta2 Ta 0.0000 0.9491 0.9060
Pb1 Pb 0.5000 0.7500 0.7500
```

## Properties
Calculated formation energy (eV/atom): 0.802
Electronic total energy (eV per atom): -6.532

Record 19
## BaTa2Pb (GGA-PBE)

Data for a relaxed structure of BaTa2Pb.

```
data_BaTa2Pb
_symmetry_space_group_name_H-M 'P 1'
_symmetry_Int_Tables_number 1
_cell_length_a 4.3370
_cell_length_b 3.3416
_cell_length_c 7.9730
_cell_angle_alpha 78.54
_cell_angle_beta 90.00
_cell_angle_gamma 90.00
loop_
_symmetry_equiv_pos_as_xyz
'x,y,z'
loop_
_atom_site_label
_atom_site_type_symbol
_atom_site_fract_x
_atom_site_fract_y
_atom_site_fract_z
Pb1 Pb 0.5000 0.9114 0.7993
Ta1 Ta 0.0000 0.7847 0.0654
Ta2 Ta 0.5000 0.2543 0.1276
Ba1 Ba 0.0000 0.5497 0.5077
```

## Properties
Calculated formation energy (eV/atom): 0.462
Electronic total energy (eV per atom): -6.872

Record 20
## BaTa2Pb (GGA-PBE)

Data for a relaxed structure of BaTa2Pb.

```
data_BaTa2Pb
_symmetry_space_group_name_H-M 'P 1'
_symmetry_Int_Tables_number 1
_cell_length_a 6.6209
_cell_length_b 6.6209
_cell_length_c 6.6209
_cell_angle_alpha 151.18
_cell_angle_beta 128.84
_cell_angle_gamma 59.78
loop_
_symmetry_equiv_pos_as_xyz
'x,y,z'
loop_
_atom_site_label
_atom_site_type_symbol
_atom_site_fract_x
_atom_site_fract_y
_atom_site_fract_z
Ta1 Ta 0.7960 0.2960 0.5000
Ta2 Ta 0.9753 0.9753 0.0000
Ba1 Ba 0.5111 0.5111 0.0000
Pb1 Pb 0.2176 0.7176 0.5000
```

## Properties
Calculated formation energy (eV/atom): 0.814
Electronic total energy (eV per atom): -6.520